The following is a PBE+U calculation of an optimized crystal structure of K2PmNiF8, from Alexandria via LeMat-Bulk.

Summary:
For the density of states at the Fermi level, the calculation gives 0.000 states/eV/cell. As for the raw total energy: -4.861 eV/atom. For the spin magnetization, the calculation gives 0.26 μB/atom. The volume is 189.7 Å³ per cell.

Cell: 4.3587 6.1065 7.1607 Å, 90.00 90.00 95.54°
Site moments in Bohr magnetons follow the coordinates.
Fractional positions:
F  0.4575  0.2157  0.5000  0.01
F  0.3652  0.1757  0.0000  0.20
F  0.5425  0.7843  0.5000  0.01
F  0.0852  0.8055  0.7789  0.08
F  0.0852  0.8055  0.2212  0.08
F  0.9148  0.1945  0.7788  0.08
F  0.6348  0.8243  0.0000  0.20
F  0.9148  0.1945  0.2211  0.08
K  0.5000  0.5000  0.2315  0.00
K  0.5000  0.5000  0.7685  0.00
Ni  0.0000  0.0000  0.0000  2.28
Pm  0.0000  0.0000  0.5000  0.00